Record 1
## Tb14PrEr (PBE)

Data for Tb14PrEr after structural relaxation.

Unit cell a=7.1607 b=7.1607 c=11.5310 alpha=90.00 beta=90.00 gamma=120.00
With the nearest neighbours (Å) after each atom.
Fractional coordinates of all 16 atoms:
Tb  0.0422  0.9578  0.0000  12 Tb 3.53-3.58
Tb  0.5419  0.4581  0.0000  12 Tb 3.54-3.58
Tb  0.2077  0.2919  0.5000  8 Tb 3.54-3.58, 2 Pr 3.58, 2 Er 3.58
Tb  0.0425  0.4583  0.0000  12 Tb 3.53-3.59
Tb  0.7081  0.7923  0.5000  8 Tb 3.54-3.58, 2 Pr 3.58, 2 Er 3.58
Tb  0.5417  0.9575  0.0000  12 Tb 3.53-3.59
Tb  0.3744  0.1246  0.7512  10 Tb 3.53-3.59, 1 Er 3.56, 1 Pr 3.56
Tb  0.3744  0.1246  0.2488  10 Tb 3.53-3.59, 1 Er 3.56, 1 Pr 3.56
Tb  0.8754  0.6256  0.7512  10 Tb 3.53-3.59, 1 Er 3.56, 1 Pr 3.56
Tb  0.8754  0.6256  0.2488  10 Tb 3.53-3.59, 1 Er 3.56, 1 Pr 3.56
Tb  0.3748  0.6252  0.7494  11 Tb 3.54-3.58, 1 Er 3.54
Tb  0.3748  0.6252  0.2506  11 Tb 3.54-3.58, 1 Er 3.54
Tb  0.8753  0.1247  0.7520  11 Tb 3.53-3.59, 1 Pr 3.57
Tb  0.8753  0.1247  0.2480  11 Tb 3.53-3.59, 1 Pr 3.57
Pr  0.7083  0.2917  0.5000  10 Tb 3.56-3.58, 2 Er 3.58
Er  0.2078  0.7922  0.5000  10 Tb 3.54-3.58, 2 Pr 3.58

Properties
V   32.0 Å³ per atom
Density   8.21 Mg/m³
E   -4.63 eV/atom


Record 2
## TeSe2Cl (PBE)

Data for TeSe2Cl after structural relaxation.

Unit cell a=6.1634 b=6.1634 c=6.1634 alpha=139.32 beta=87.02 gamma=107.07
With the nearest neighbours (Å) after each atom.
Fractional coordinates of all 4 atoms:
Cl  0.7262  0.2262  0.5000  2 Te 2.81
Se  0.0597  0.0597  0.0000  2 Se 2.50
Se  0.2365  0.7365  0.5000  2 Se 2.50, 2 Te 2.78
Te  0.4776  0.4776  0.0000  3 Se 2.78-3.06, 2 Cl 2.81

Properties
V   35.1 Å³ per atom
Density   3.80 Mg/m³
Energy relative to the elements, uncorrected   0.171 eV/atom
E   -2.82 eV/atom


Record 3
## TmScBe2 (PBE)

Data for TmScBe2 after structural relaxation.

Unit cell a=4.6237 b=4.6237 c=4.6237 alpha=60.00 beta=60.00 gamma=60.00
With the nearest neighbours (Å) after each atom.
Fractional coordinates of all 4 atoms:
Sc  0.5000  0.5000  0.5000  8 Be 2.83
Be  0.2500  0.2500  0.2500  4 Tm 2.83, 4 Sc 2.83
Be  0.7500  0.7500  0.7500  4 Sc 2.83, 4 Tm 2.83
Tm  0.0000  0.0000  0.0000  8 Be 2.83

Properties
V   17.5 Å³ per atom
Density   5.51 Mg/m³
E   -4.54 eV/atom


Record 4
## ReHg2 (PBE)

Data for ReHg2 after structural relaxation.

Unit cell a=4.9631 b=4.9631 c=2.7920 alpha=90.00 beta=90.00 gamma=90.00
With the nearest neighbours (Å) after each atom.
Fractional coordinates of all 3 atoms:
Hg  0.0000  0.5000  0.5000  2 Hg 2.79, 4 Re 2.85
Hg  0.5000  0.0000  0.5000  2 Hg 2.79, 4 Re 2.85
Re  0.0000  0.0000  0.0000  2 Re 2.79, 8 Hg 2.85

Properties
V   22.9 Å³ per atom
Density   14.18 Mg/m³
E   -3.64 eV/atom


Record 5
## BHBr3 (PBE)

Data for BHBr3 after structural relaxation.

Unit cell a=4.7238 b=4.7238 c=4.7238 alpha=90.00 beta=90.00 gamma=90.00
With the nearest neighbours (Å) after each atom.
Fractional coordinates of all 5 atoms:
H  0.5000  0.5000  0.5000  12 Br 3.34
B  0.0000  0.0000  0.0000  6 Br 2.36
Br  0.0000  0.5000  0.0000  2 B 2.36
Br  0.0000  0.0000  0.5000  2 B 2.36
Br  0.5000  0.0000  0.0000  2 B 2.36

Properties
V   21.1 Å³ per atom
Density   3.96 Mg/m³
E   -2.12 eV/atom


Record 6
## Ta3ZnSe (PBE)

Data for Ta3ZnSe after structural relaxation.

Unit cell a=4.7199 b=4.7199 c=4.7199 alpha=90.00 beta=90.00 gamma=90.00
With the nearest neighbours (Å) after each atom.
Fractional coordinates of all 5 atoms:
Zn  0.5000  0.5000  0.5000  12 Ta 3.34
Se  0.0000  0.0000  0.0000  6 Ta 2.36
Ta  0.0000  0.5000  0.0000  2 Se 2.36
Ta  0.0000  0.0000  0.5000  2 Se 2.36
Ta  0.5000  0.0000  0.0000  2 Se 2.36

Properties
V   21.0 Å³ per atom
Density   10.85 Mg/m³
Energy relative to the elements, uncorrected   1.035 eV/atom
E   -7.03 eV/atom